LiGeSb2 | PBE | optimized geometry

abc: 4.139 4.715 4.715
angles: 90.00 90.00 90.00
Element x y z (fractional)
1 Sb 0.000 0.500 0.000
2 Li 0.500 0.500 0.500
3 Ge 0.500 0.000 0.000
4 Sb 0.000 0.000 0.500

Results
E_form (uncorrected)   -0.046 eV per atom
Space group   No. 123

=====

KAuCl2 | PBE | optimized geometry

abc: 5.021 5.021 14.557
angles: 90.00 90.00 120.00
Element x y z (fractional)
1 Cl 0.667 0.333 0.907
2 Au 0.333 0.667 0.250
3 Cl 0.667 0.333 0.593
4 Cl 0.333 0.667 0.407
5 Cl 0.333 0.667 0.093
6 Au 0.667 0.333 0.750
7 K 0.000 0.000 0.500
8 K 0.000 0.000 0.000

Results
E_form (uncorrected)   -1.109 eV per atom
Space group   No. 194
Excess energy over the best structure of this formula in the dataset   0.0011 eV per atom

=====

TaCoAg2 | PBE | optimized geometry

abc: 2.722 2.722 9.273
angles: 90.00 90.00 107.67
Element x y z (fractional)
1 Ta 0.500 0.500 0.750
2 Co 0.500 0.500 0.250
3 Ag 0.000 0.000 0.015
4 Ag 0.000 0.000 0.485

Results
Space group   No. 65
Excess energy over the best structure of this formula in the dataset   0.2900 eV per atom
Energy relative to the elements   0.445 eV per atom

=====

SrBeFeAg2 | PBE | optimized geometry

abc: 5.498 4.666 5.498
angles: 90.00 90.00 90.00
Element x y z (fractional)
1 Be 0.500 0.500 0.500
2 Fe 0.000 0.500 0.000
3 Ag 0.000 0.000 0.500
4 Sr 0.000 0.000 0.000
5 Ag 0.500 0.000 0.000

Results
Space group   No. 123
Energy relative to the elements   2.090 eV per atom

=====

Total energy values, unit eV per atom, following the record order: -3.7401, -3.1256, -5.7206, -1.8248.
Size of the total moment values, unit μB per formula unit, following the record order: 0.00, 0.00, 1.54, 0.03.